# 1
! Ta4SiBiN2 | the Open Quantum Materials Database | GGA-PBE | relaxed; values from VASP
&SYSTEM
  ibrav = 0, nat = 8, ntyp = 4
/
ATOMIC_SPECIES
Ta 180.95 Ta.upf
Si 28.09 Si.upf
Bi 208.98 Bi.upf
N 14.01 N.upf
ATOMIC_POSITIONS angstrom
Ta 0.000 0.000 1.826
Ta 0.000 0.000 11.290
Ta 0.000 1.887 4.077
Ta 0.000 1.887 9.039
Si 0.000 1.887 0.000
Bi 0.000 0.000 6.558
N 1.634 0.943 3.019
N 1.634 0.943 10.097
CELL_PARAMETERS angstrom
3.268 0.000 0.000
-1.634 2.830 0.000
0.000 0.000 13.116
! - spin magnetization (μB per formula unit) = 0.00
! - total DFT energy (no corrections) (eV for the cell shown) = -76.28
! - crystal system = hexagonal

# 2
! Ta4SiBiN2 | the Open Quantum Materials Database | GGA-PBE | relaxed; values from VASP
&SYSTEM
  ibrav = 0, nat = 8, ntyp = 4
/
ATOMIC_SPECIES
Ta 180.95 Ta.upf
Si 28.09 Si.upf
Bi 208.98 Bi.upf
N 14.01 N.upf
ATOMIC_POSITIONS angstrom
Ta 0.000 0.000 1.827
Ta 0.000 0.000 11.291
Ta 1.633 0.943 4.077
Ta 1.633 0.943 9.041
Si 1.633 0.943 0.000
Bi 0.000 0.000 6.559
N 0.000 1.886 3.020
N 0.000 1.886 10.098
CELL_PARAMETERS angstrom
3.266 0.000 0.000
-1.633 2.829 0.000
0.000 0.000 13.118
! - spin magnetization (μB per formula unit) = 0.00
! - total DFT energy (no corrections) (eV for the cell shown) = -76.28
! - crystal system = hexagonal